{"formula": "RuW2Au", "functional": "GGA-PBE", "state": "relaxed", "cell": [[3.9065, 0.0000, 0.0000], [0.0000, 3.9065, 0.0000], [0.0000, 0.0000, 4.1074]], "species": ["Ru", "W", "Au", "W"], "fractional_positions": [[0.0000, 0.5000, 0.5000], [0.5000, 0.5000, 0.0000], [0.5000, 0.0000, 0.5000], [0.0000, 0.0000, 0.0000]], "magnetic_moment_mub_per_cell": 0.0, "de_polymorph_ev_per_atom": 0.0351, "final_energy_ev_per_cell": -37.59, "e_form_ev_per_atom": 0.22, "crystal_system": "tetragonal", "spacegroup": "P4/mmm, No. 123"}

{"formula": "PrAlAg2O4", "functional": "GGA-PBE", "state": "relaxed", "cell": [[6.1170, 0.0000, 0.0000], [3.0585, 4.3549, -0.2678], [3.0585, 0.2161, 4.3577]], "species": ["O", "O", "Pr", "O", "Ag", "Ag", "O", "Al"], "fractional_positions": [[0.9991, 0.5221, 0.1577], [0.6788, 0.4779, 0.8423], [0.0000, 0.0000, 0.0000], [0.3212, 0.1577, 0.5221], [0.5000, 0.2519, 0.7481], [0.5000, 0.7481, 0.2519], [0.0009, 0.8423, 0.4779], [0.0000, 0.5000, 0.5000]], "magnetic_moment_mub_per_cell": 0.0, "formation_energy_uncorrected_kj_per_mol_atoms": -176.1, "final_energy_ev_per_cell": -48.66, "crystal_system": "orthorhombic", "spacegroup": "I222, No. 23"}